# 1
Computed, not measured: NbCuNi after structural relaxation at the GGA-PBE level of DFT.

Computed properties:
* VASP energy: -6.738 eV per atom
* formation energy: -0.089 eV per atom
* space-group type: C2/c
* relative energy among the computed polymorphs: 23 meV/atom
* total moment: 0.00 μB per atom

Cell: 5.524 8.086 4.601 Å, 90.00 127.10 90.00°
Atoms (fractional coordinates):
Nb 0.750 0.242 0.750
Nb 0.250 0.758 0.250
Nb 0.750 0.742 0.250
Nb 0.250 0.258 0.750
Cu 0.750 0.573 0.750
Cu 0.250 0.427 0.250
Cu 0.750 0.073 0.250
Cu 0.250 0.927 0.750
Ni 0.750 0.919 0.750
Ni 0.250 0.081 0.250
Ni 0.750 0.419 0.250
Ni 0.250 0.581 0.750


# 2
Computed, not measured: NpPt3 after structural relaxation at the GGA-PBE level of DFT.

Computed properties:
* VASP energy: -8.386 eV per atom
* formation energy: -0.620 eV per atom
* space-group type: P6_3/mmc
* total moment: 0.80 μB per atom

Cell: 5.863 5.863 9.626 Å, 90.00 90.00 120.00°
Site moments in Bohr magnetons follow the coordinates.
Atoms (fractional coordinates):
Np 0.000 0.000 0.500  3.21
Np 0.000 0.000 0.000  3.21
Np 0.333 0.667 0.250  3.25
Np 0.667 0.333 0.750  3.25
Pt 0.500 0.500 0.500  -0.03
Pt 0.500 0.000 0.500  -0.03
Pt 0.000 0.500 0.500  -0.03
Pt 0.500 0.500 0.000  -0.03
Pt 0.500 0.000 0.000  -0.03
Pt 0.000 0.500 0.000  -0.03
Pt 0.828 0.656 0.250  -0.05
Pt 0.344 0.172 0.250  -0.05
Pt 0.828 0.172 0.250  -0.05
Pt 0.172 0.344 0.750  -0.05
Pt 0.656 0.828 0.750  -0.05
Pt 0.172 0.828 0.750  -0.05


# 3
Computed, not measured: Pr3Dy6Tm2Zr after structural relaxation at the GGA-PBE level of DFT.

Computed properties:
* VASP energy: -4.907 eV per atom
* formation energy: 0.046 eV per atom
* space-group type: C2/m
* total moment: 0.00 μB per atom

Cell: 6.138 6.138 11.720 Å, 95.00 95.00 119.94°
Atoms (fractional coordinates):
Pr 0.166 0.834 0.500
Pr 0.834 0.166 0.500
Pr 0.500 0.500 0.500
Dy 0.920 0.594 0.761
Dy 0.753 0.753 0.239
Dy 0.080 0.406 0.239
Dy 0.594 0.920 0.761
Dy 0.247 0.247 0.761
Dy 0.406 0.080 0.239
Tm 0.333 0.667 0.000
Tm 0.667 0.333 0.000
Zr 0.000 0.000 0.000


# 4
Computed, not measured: Zr2CdHg after structural relaxation at the GGA-PBE level of DFT.

Computed properties:
* VASP energy: -4.713 eV per atom
* formation energy: -0.135 eV per atom
* space-group type: P4/mmm
* relative energy among the computed polymorphs: 13 meV/atom
* total moment: 0.09 μB per atom

Cell: 3.177 3.177 8.587 Å, 90.00 90.00 90.00°
Site moments in Bohr magnetons follow the coordinates.
Atoms (fractional coordinates):
Hg 0.500 0.500 0.750  0.01
Zr 0.000 0.000 0.997  0.12
Zr 0.000 0.000 0.503  0.12
Cd 0.500 0.500 0.250  0.00


# 5
Computed, not measured: In2SnAs2Se after structural relaxation at the GGA-PBE level of DFT.

Computed properties:
* VASP energy: -3.919 eV per atom
* space-group type: Cmc2_1
* total moment: 0.00 μB per atom
* formation energy without anion corrections: -1.25 eV per formula unit

Cell: 7.079 8.506 7.669 Å, 123.68 90.00 90.00°
Atoms (fractional coordinates):
In 0.811 0.828 0.359
In 0.811 0.469 0.641
In 0.311 0.531 0.359
In 0.311 0.172 0.641
Sn 0.293 0.827 0.000
Sn 0.793 0.173 0.000
As 0.188 0.823 0.347
As 0.188 0.476 0.653
As 0.688 0.177 0.653
As 0.688 0.524 0.347
Se 0.682 0.771 0.000
Se 0.182 0.229 0.000


# 6
Computed, not measured: MnTl2Sb after structural relaxation at the GGA-PBE level of DFT.

Computed properties:
* VASP energy: -4.180 eV per atom
* space-group type: I4/mmm
* relative energy among the computed polymorphs: 155 meV/atom
* total moment: 1.06 μB per atom
* formation energy without anion corrections: 1.30 eV per formula unit

Cell: 6.408 6.408 6.408 Å, 140.56 140.56 57.00°
Site moments in Bohr magnetons follow the coordinates.
Atoms (fractional coordinates):
Mn 0.250 0.750 0.500  4.08
Sb 0.750 0.250 0.500  -0.06
Tl 0.000 0.000 0.000  -0.01
Tl 0.500 0.500 0.000  -0.01


# 7
Computed, not measured: TcIrRu3 after structural relaxation at the GGA-PBE level of DFT.

Computed properties:
* VASP energy: -9.393 eV per atom
* formation energy: 0.018 eV per atom
* space-group type: P2_1/m
* relative energy among the computed polymorphs: 0 meV/atom
* total moment: 0.00 μB per atom

Cell: 3.840 6.079 6.074 Å, 90.11 90.00 90.00°
Atoms (fractional coordinates):
Tc 0.624 0.398 0.377
Tc 0.124 0.701 0.270
Ir 0.624 0.202 0.773
Ir 0.124 0.896 0.874
Ru 0.624 0.799 0.569
Ru 0.624 0.995 0.176
Ru 0.124 0.502 0.670
Ru 0.124 0.300 0.078
Ru 0.124 0.103 0.471
Ru 0.624 0.597 0.977


# 8
Computed, not measured: DyIn2GaPd4 after structural relaxation at the GGA-PBE level of DFT.

Computed properties:
* VASP energy: -4.890 eV per atom
* formation energy: -0.655 eV per atom
* space-group type: R-3m
* total moment: 0.00 μB per atom

Cell: 4.716 4.716 8.010 Å, 72.88 72.88 60.00°
Atoms (fractional coordinates):
Dy 0.000 0.000 0.000
In 0.746 0.746 0.761
In 0.254 0.254 0.239
Ga 0.500 0.500 0.500
Pd 0.388 0.388 0.836
Pd 0.870 0.870 0.391
Pd 0.130 0.130 0.609
Pd 0.612 0.612 0.164